VASP calculation (GGA+U) on a geometry-optimized Ba3ErCo2O8 structure.

a b c (Å): 5.9706 5.9706 7.5805
angles (deg): 90.00 90.00 120.00
With the nearest neighbours (Å) after each atom.
Sites, in units of the cell vectors:
Ba (0.0000, 0.0000, 0.0000)  6 O 3.00
Ba (0.3333, 0.6667, 0.6590)  1 O 2.50
Ba (0.6667, 0.3333, 0.3410)  1 O 2.50
Er (0.0000, 0.0000, 0.5000)  6 O 2.22
Co (0.3333, 0.6667, 0.2198)  4 O 1.75-1.86
Co (0.6667, 0.3333, 0.7802)  4 O 1.75-1.86
O (0.1697, 0.3394, 0.3202)  1 Co 1.86
O (0.1697, 0.8303, 0.3202)  1 Co 1.86
O (0.3333, 0.6667, 0.9885)  1 Co 1.75
O (0.3394, 0.1697, 0.6798)  1 Co 1.86
O (0.6606, 0.8303, 0.3202)  1 Co 1.86
O (0.6667, 0.3333, 0.0115)  1 Co 1.75
O (0.8303, 0.1697, 0.6798)  1 Co 1.86
O (0.8303, 0.6606, 0.6798)  1 Co 1.86

- mass density (kg/m3) = 5854
- final energy (eV per cell) = -90.366
- space group = P-3m1